Computed, not measured: SbRuPt2 after structural relaxation at the PBE level of DFT.

Output
The value obtained for the size of the total moment is 0.0 μB per cell. The calculation puts the raw total energy at -0.2149 Ha/atom. Its uncorrected formation energy is 0.5225 eV/atom. The crystal system is tetragonal.

Cell: 5.3124 5.3124 13.5076 Å, 90.00 90.00 90.00°
With the nearest neighbours (Å) after each atom.
Space group I-42d (No. 122)
Unique sites:
Sb: 0.0000 0.0000 0.0000 [4 per cell]  4 Pt 2.61
Ru: 0.0000 0.0000 0.5000 [4 per cell]  4 Pt 2.45
Pt: 0.2208 0.2500 0.6250 [8 per cell]  2 Ru 2.45, 2 Sb 2.61

Computed, not measured: SrSc2W after structural relaxation at the PBE level of DFT.

Output
The value obtained for the size of the total moment is 0.0 μB per cell. The calculation puts the raw total energy at -0.2303 Ha/atom. The value obtained for the formation energy from the elements is 559 meV/atom. The crystal system is monoclinic.

Cell: 9.5886 3.0849 6.7288 Å, 90.00 94.63 90.00°
With the nearest neighbours (Å) after each atom.
Space group C2/m (No. 12)
Unique sites:
Sr: 0.0000 0.0000 0.0000 [2 per cell]  2 Sr 3.08, 2 Sc 3.19
Sc: 0.2347 0.0000 0.6899 [4 per cell]  3 W 2.93-2.94, 4 Sc 3.02-3.08, 1 Sr 3.19
W: 0.0000 0.5000 0.5000 [2 per cell]  6 Sc 2.93-2.94, 2 W 3.08

Computed, not measured: BePOs2 after structural relaxation at the PBE level of DFT.

Output
The value obtained for the size of the total moment is 0.0 μB per cell. The calculation puts the raw total energy at -0.2914 Ha/atom. The value obtained for the formation energy from the elements is -31 meV/atom. The crystal system is orthorhombic.

Cell: 2.8888 3.4087 10.4500 Å, 90.00 90.00 90.00°
With the nearest neighbours (Å) after each atom.
Space group Imm2 (No. 44)
Unique sites:
Be: 0.0000 0.0000 0.0000 [2 per cell]  6 Os 2.37-2.40
P: 0.0000 0.5000 0.2528 [2 per cell]  6 Os 2.36-2.40
Os: 0.0000 0.0000 0.5745 [2 per cell]  2 P 2.36, 4 Be 2.37
Os: 0.0000 0.5000 0.8380 [2 per cell]  2 Be 2.40, 4 P 2.40

Computed, not measured: Ba2LiCd7 after structural relaxation at the PBE level of DFT.

Output
The value obtained for the size of the total moment is 0.0 μB per cell. The calculation puts the raw total energy at -0.0545 Ha/atom. The value obtained for the formation energy from the elements is -268 meV/atom. The crystal system is tetragonal.

Cell: 4.7504 4.7504 13.0396 Å, 90.00 90.00 90.00°
With the nearest neighbours (Å) after each atom.
Space group P-4m2 (No. 115)
Unique sites:
Ba: 0.0000 0.5000 0.2482 [2 per cell]  14 Cd 3.64-4.05, 2 Li 4.05
Li: 0.0000 0.0000 0.5000 [1 per cell]  4 Cd 2.94
Cd: 0.0000 0.0000 0.0000 [1 per cell]  4 Cd 3.00
Cd: 0.0000 0.5000 0.6334 [2 per cell]  3 Cd 2.94-2.95, 2 Li 2.94
Cd: 0.0000 0.5000 0.8596 [2 per cell]  5 Cd 2.95-3.00
Cd: 0.5000 0.5000 0.0000 [1 per cell]  4 Cd 3.00
Cd: 0.5000 0.5000 0.5000 [1 per cell]  4 Cd 2.94

Computed, not measured: GaCo4Ru after structural relaxation at the PBE level of DFT.

Output
The value obtained for the size of the total moment is 30.4 μB per cell. The calculation puts the raw total energy at -0.2459 Ha/atom. The value obtained for the formation energy from the elements is 96 meV/atom. The crystal system is cubic.

Cell: 6.6484 6.6484 6.6484 Å, 90.00 90.00 90.00°
With the nearest neighbours (Å) after each atom.
Space group F-43m (No. 216)
Unique sites:
Ga: 0.0000 0.0000 0.0000 [4 per cell]  12 Co 2.76, 4 Ru 2.88
Co: 0.1254 0.1254 0.3746 [16 per cell]  6 Co 2.34-2.36
Ru: 0.2500 0.2500 0.7500 [4 per cell]  12 Co 2.76, 4 Ga 2.88

Computed, not measured: TaGaCo after structural relaxation at the PBE level of DFT.

Output
The value obtained for the size of the total moment is 0.0 μB per cell. The calculation puts the raw total energy at -0.2786 Ha/atom. The value obtained for the formation energy from the elements is -251 meV/atom. The crystal system is hexagonal.

Cell: 4.1962 4.1962 2.7968 Å, 90.00 90.00 120.00°
With the nearest neighbours (Å) after each atom.
Space group P-6m2 (No. 187)
Unique sites:
Ta: 0.0000 0.0000 0.0000 [1 per cell]  2 Ta 2.80, 6 Co 2.80, 6 Ga 2.80
Ga: 0.6667 0.3333 0.5000 [1 per cell]  3 Co 2.42
Co: 0.3333 0.6667 0.5000 [1 per cell]  3 Ga 2.42

Computed, not measured: Zn2As after structural relaxation at the PBE level of DFT.

Output
The value obtained for the size of the total moment is 0.0 μB per cell. The calculation puts the raw total energy at -0.0820 Ha/atom. The value obtained for the formation energy from the elements is 168 meV/atom. The crystal system is trigonal.

Cell: 4.8017 4.8017 2.6652 Å, 90.00 90.00 120.00°
With the nearest neighbours (Å) after each atom.
Space group P-3m1 (No. 164)
Unique sites:
Zn: 0.3333 0.6667 0.4936 [2 per cell]  5 Zn 2.67-2.77, 3 As 2.77
As: 0.0000 0.0000 0.5000 [1 per cell]  2 As 2.67, 6 Zn 2.77

Computed, not measured: Y2BeTlZn after structural relaxation at the PBE level of DFT.

Output
The value obtained for the size of the total moment is 0.0 μB per cell. The calculation puts the raw total energy at -0.1177 Ha/atom. The value obtained for the formation energy from the elements is 856 meV/atom. The crystal system is tetragonal.

Cell: 5.7422 5.7422 4.8474 Å, 90.00 90.00 90.00°
With the nearest neighbours (Å) after each atom.
Space group P4/mmm (No. 123)
Unique sites:
Y: 0.0000 0.5000 0.0000 [2 per cell]  2 Tl 2.87
Be: 0.0000 0.0000 0.5000 [1 per cell]  8 Y 3.76, 4 Zn 4.06
Tl: 0.5000 0.5000 0.0000 [1 per cell]  2 Zn 2.42
Zn: 0.5000 0.5000 0.5000 [1 per cell]  2 Tl 2.42